# 1
DFT (GGA-PBE) results for a relaxed structure of Na2Li3CdBi4.

Results
As for the space-group type: No. 115. The calculation puts the formation energy at -310 meV/atom.

Cell lengths 4.6193, 4.6193, 13.1039 Å; angles 90.00, 90.00, 90.00 degrees
Last column: nearest neighbours and their distance in Å.
Sites, in units of the cell vectors:
Na 0.0000 0.5000 0.2337  4 Bi 3.47, 6 Li 3.64-3.84, 2 Cd 3.84
Na 0.5000 0.0000 0.7663  4 Bi 3.47, 6 Li 3.64-3.84, 2 Cd 3.84
Li 0.0000 0.0000 0.0000  4 Bi 2.99, 4 Cd 3.27
Li 0.0000 0.5000 0.6441  5 Bi 2.77-2.98
Li 0.5000 0.0000 0.3559  5 Bi 2.77-2.98
Cd 0.5000 0.5000 0.0000  4 Bi 2.99, 4 Li 3.27
Bi 0.0000 0.0000 0.5000  4 Li 2.98, 4 Bi 3.27
Bi 0.0000 0.5000 0.8554  3 Li 2.77-2.99, 2 Cd 2.99
Bi 0.5000 0.0000 0.1446  3 Li 2.77-2.99, 2 Cd 2.99
Bi 0.5000 0.5000 0.5000  4 Li 2.98, 4 Bi 3.27

=====

# 2
DFT (GGA-PBE) results for a relaxed structure of La2TaVPb.

Results
As for the space-group type: No. 123. The calculation puts the formation energy at 601 meV/atom.

Cell lengths 5.6958, 5.6958, 4.7296 Å; angles 90.00, 90.00, 90.00 degrees
Last column: nearest neighbours and their distance in Å.
Sites, in units of the cell vectors:
La 0.0000 0.5000 0.0000  2 Ta 2.85
La 0.5000 0.0000 0.0000  2 Ta 2.85
Ta 0.0000 0.0000 0.0000  2 V 2.36
V 0.0000 0.0000 0.5000  2 Ta 2.36
Pb 0.5000 0.5000 0.5000  8 La 3.70, 4 V 4.03

=====

# 3
DFT (GGA-PBE) results for a relaxed structure of ZrZnPd6.

Results
As for the space-group type: No. 123. Its energy above the most stable polymorph in this dataset is 0 meV/atom. The calculation puts the formation energy at -589 meV/atom.

Cell lengths 5.6418, 5.6418, 3.9574 Å; angles 90.00, 90.00, 90.00 degrees
Last column: nearest neighbours and their distance in Å.
Sites, in units of the cell vectors:
Zr 0.0000 0.0000 0.0000  12 Pd 2.82-2.83
Zn 0.5000 0.5000 0.0000  12 Pd 2.79-2.82
Pd 0.0000 0.5000 0.0000  8 Pd 2.81, 2 Zn 2.82, 2 Zr 2.82
Pd 0.2532 0.2532 0.5000  8 Pd 2.79-2.86, 2 Zn 2.79, 2 Zr 2.83
Pd 0.2532 0.7468 0.5000  8 Pd 2.79-2.86, 2 Zn 2.79, 2 Zr 2.83
Pd 0.5000 0.0000 0.0000  8 Pd 2.81, 2 Zn 2.82, 2 Zr 2.82
Pd 0.7468 0.2532 0.5000  8 Pd 2.79-2.86, 2 Zn 2.79, 2 Zr 2.83
Pd 0.7468 0.7468 0.5000  8 Pd 2.79-2.86, 2 Zn 2.79, 2 Zr 2.83

=====

# 4
DFT (GGA-PBE) results for a relaxed structure of Ac6TcPd.

Results
As for the space-group type: No. 12. The calculation puts the formation energy at -125 meV/atom.

Cell lengths 7.2344, 7.2344, 7.3902 Å; angles 99.20, 99.20, 118.57 degrees
Last column: nearest neighbours and their distance in Å.
Sites, in units of the cell vectors:
Ac 0.0642 0.3976 0.2448  1 Tc 2.92, 1 Pd 3.08
Ac 0.2550 0.2550 0.7628  1 Tc 2.95, 1 Pd 3.04
Ac 0.3976 0.0642 0.2448  1 Tc 2.92, 1 Pd 3.08
Ac 0.6024 0.9358 0.7552  1 Tc 2.92, 1 Pd 3.08
Ac 0.7450 0.7450 0.2372  1 Tc 2.95, 1 Pd 3.04
Ac 0.9358 0.6024 0.7552  1 Tc 2.92, 1 Pd 3.08
Tc 0.0000 0.0000 0.0000  6 Ac 2.92-2.95
Pd 0.5000 0.5000 0.5000  6 Ac 3.04-3.08

=====

# 5
DFT (GGA-PBE) results for a relaxed structure of CeTm3Ni.

Results
As for the space-group type: No. 221. The calculation puts the formation energy at -31 meV/atom.

Cell lengths 5.2403, 5.2403, 5.2403 Å; angles 90.00, 90.00, 90.00 degrees
Last column: nearest neighbours and their distance in Å.
Sites, in units of the cell vectors:
Ce 0.0000 0.0000 0.0000  12 Tm 3.71
Tm 0.0000 0.5000 0.5000  2 Ni 2.62
Tm 0.5000 0.0000 0.5000  2 Ni 2.62
Tm 0.5000 0.5000 0.0000  2 Ni 2.62
Ni 0.5000 0.5000 0.5000  6 Tm 2.62

=====

# 6
DFT (GGA-PBE) results for a relaxed structure of CePmTmHg.

Results
As for the space-group type: No. 216. The calculation puts the formation energy at -4 meV/atom.

Cell lengths 5.4231, 5.4231, 5.4231 Å; angles 60.00, 60.00, 60.00 degrees
Last column: nearest neighbours and their distance in Å.
Sites, in units of the cell vectors:
Ce 0.0000 0.0000 0.0000  4 Hg 3.32, 4 Pm 3.32
Pm 0.7500 0.7500 0.7500  4 Ce 3.32, 4 Tm 3.32
Tm 0.5000 0.5000 0.5000  4 Hg 3.32, 4 Pm 3.32
Hg 0.2500 0.2500 0.2500  4 Ce 3.32, 4 Tm 3.32

=====

# 7
DFT (GGA-PBE) results for a relaxed structure of HfTeIr.

Results
As for the space-group type: No. 11. Its energy above the most stable polymorph in this dataset is 44 meV/atom. For the uncorrected formation energy, the calculation gives -65.0 kJ/mol of atoms.

Cell lengths 3.5446, 4.3978, 9.7353 Å; angles 90.00, 100.39, 90.00 degrees
Last column: nearest neighbours and their distance in Å.
Sites, in units of the cell vectors:
Hf 0.0616 0.2500 0.1276  6 Ir 2.77-2.84, 2 Te 2.94
Hf 0.9384 0.7500 0.8724  6 Ir 2.77-2.84, 2 Te 2.94
Te 0.1644 0.7500 0.3308  2 Ir 2.85-2.87, 2 Hf 2.94
Te 0.8356 0.2500 0.6692  2 Ir 2.85-2.87, 2 Hf 2.94
Ir 0.4556 0.2500 0.9035  6 Hf 2.77-2.84, 2 Te 2.85-2.87, 2 Ir 2.87
Ir 0.5444 0.7500 0.0965  6 Hf 2.77-2.84, 2 Te 2.85-2.87, 2 Ir 2.87

=====

# 8
DFT (GGA-PBE) results for a relaxed structure of YOs2Cl.

Results
As for the space-group type: No. 123. Its energy above the most stable polymorph in this dataset is 1128 meV/atom. For the uncorrected formation energy, the calculation gives 87.7 kJ/mol of atoms.

Cell lengths 3.0164, 3.0164, 7.6551 Å; angles 90.00, 90.00, 90.00 degrees
Last column: nearest neighbours and their distance in Å.
Sites, in units of the cell vectors:
Y 0.0000 0.0000 0.0000  4 Y 3.02, 8 Os 3.04
Os 0.5000 0.5000 0.2821  4 Cl 2.71, 4 Os 3.02
Os 0.5000 0.5000 0.7179  4 Cl 2.71, 4 Os 3.02
Cl 0.0000 0.0000 0.5000  8 Os 2.71, 4 Cl 3.02